(1)
## CsCaTeHAu (PBE)

Data for an optimized crystal structure of CsCaTeHAu.

abc: 4.3277 4.0527 8.7110
angles: 90.00 103.77 90.00
Element x y z (fractional)
1 Au 0.8132 0.5000 0.6214
2 Cs 0.4399 0.0000 0.8871
3 H 0.8157 0.0000 0.6269
4 Ca 0.6595 0.0000 0.3479
5 Te 0.0951 0.5000 0.2131

Values from the calculation:
Energy relative to the lowest polymorph listed for this composition ... 0.010 eV per atom
DOS at the Fermi energy ... 1.46 states/eV/cell



(2)
## Y7AsP5 (PBE)

Data for an optimized crystal structure of Y7AsP5.

abc: 4.0051 6.8952 23.5652
angles: 90.00 90.00 106.90
Element x y z (fractional)
1 Y 0.8222 0.6443 0.8247
2 As 0.2035 0.4070 0.7500
3 P 0.4569 0.9136 0.8549
4 P 0.5438 0.0876 0.3549
5 Y 0.3638 0.7277 0.5353
6 Y 0.6367 0.2733 0.4646
7 Y 0.9105 0.8209 0.3951
8 As 0.7971 0.5942 0.2500
9 Y 0.0901 0.1803 0.8951
10 P 0.2728 0.5456 0.4264
11 Y 0.8221 0.6441 0.6753
12 P 0.5437 0.0876 0.1451
13 P 0.7277 0.4554 0.5736
14 Y 0.3639 0.7279 0.9647
15 P 0.7278 0.4556 0.9264
16 P 0.4568 0.9134 0.6451
17 P 0.0003 0.0006 0.0000
18 P 0.2728 0.5457 0.0736
19 Y 0.4561 0.9119 0.2500
20 Y 0.5445 0.0892 0.7500
21 Y 0.6367 0.2734 0.0354
22 Y 0.0900 0.1801 0.6049
23 Y 0.9105 0.8209 0.1049
24 Y 0.1784 0.3569 0.1753
25 Y 0.1784 0.3570 0.3247
26 P 0.0002 0.0005 0.5000

Values from the calculation:
DOS at the Fermi energy ... 9.22 states/eV/cell



(3)
## PrHoAgHg (PBE)

Data for an optimized crystal structure of PrHoAgHg.

abc: 5.2987 5.2987 5.2987
angles: 60.00 60.00 60.00
Element x y z (fractional)
1 Ag 0.2500 0.2500 0.2500
2 Ho 0.5000 0.5000 0.5000
3 Pr 0.0000 0.0000 0.0000
4 Hg 0.7500 0.7500 0.7500

Values from the calculation:
Energy relative to the lowest polymorph listed for this composition ... 0.008 eV per atom
DOS at the Fermi energy ... 3.16 states/eV/cell



(4)
## Sc2AsHRh (PBE)

Data for an optimized crystal structure of Sc2AsHRh.

abc: 4.4921 4.4921 3.6510
angles: 90.00 90.00 90.00
Element x y z (fractional)
1 Sc 0.5000 0.0000 0.0000
2 Rh 0.0000 0.0000 0.5000
3 H 0.0000 0.0000 0.0000
4 As 0.5000 0.5000 0.5000
5 Sc 0.0000 0.5000 0.0000

Values from the calculation:
DOS at the Fermi energy ... 2.31 states/eV/cell



(5)
## Rb4Ac3UTe8 (PBE)

Data for an optimized crystal structure of Rb4Ac3UTe8.

abc: 9.6461 10.2365 9.6461
angles: 118.12 120.00 90.00
Element x y z (fractional)
1 Rb 0.5000 0.0000 0.5000
2 Ac 0.5000 0.5000 0.0000
3 Te 0.2304 0.7083 0.4608
4 Te 0.7696 0.2917 0.5392
5 Ac 0.5000 0.5000 0.5000
6 Rb 0.0000 0.0000 0.5000
7 Te 0.7384 0.7152 0.4768
8 Rb 0.0000 0.0000 0.0000
9 Te 0.7696 0.2917 0.0220
10 Ac 0.0000 0.5000 0.5000
11 Te 0.2524 0.2917 0.0220
12 Rb 0.5000 0.0000 0.0000
13 Te 0.7476 0.7083 0.9780
14 U 0.0000 0.5000 0.0000
15 Te 0.2304 0.7083 0.9780
16 Te 0.2616 0.2848 0.5232

Values from the calculation:
DOS at the Fermi energy ... 9.28 states/eV/cell



(6)
## LiHoSc2Se4 (PBE)

Data for an optimized crystal structure of LiHoSc2Se4.

abc: 3.9109 6.7704 6.8518
angles: 109.06 90.00 90.00
Element x y z (fractional)
1 Se 0.5000 0.2603 0.2573
2 Se 0.0000 0.2532 0.7444
3 Sc 0.0000 0.5000 0.5000
4 Li 0.5000 0.5000 0.0000
5 Sc 0.5000 0.0000 0.5000
6 Se 0.0000 0.7468 0.2556
7 Se 0.5000 0.7397 0.7427
8 Ho 0.0000 0.0000 0.0000

Values from the calculation:
DOS at the Fermi energy ... 3.27 states/eV/cell



(7)
## SrZn2As (PBE)

Data for an optimized crystal structure of SrZn2As.

abc: 4.0065 4.0077 5.9363
angles: 90.10 90.00 90.00
Element x y z (fractional)
1 As 0.0000 0.3752 0.4659
2 Zn 0.5000 0.3749 0.1713
3 Zn 0.0000 0.8744 0.1714
4 Sr 0.5000 0.8755 0.6914

Values from the calculation:
DOS at the Fermi energy ... 1.36 states/eV/cell



(8)
## Sb2HF (PBE)

Data for an optimized crystal structure of Sb2HF.

abc: 4.5182 4.5182 4.5182
angles: 60.00 60.00 60.00
Element x y z (fractional)
1 Sb 0.2500 0.2500 0.2500
2 F 0.5000 0.5000 0.5000
3 Sb 0.7500 0.7500 0.7500
4 H 0.0000 0.0000 0.0000

Values from the calculation:
Energy relative to the lowest polymorph listed for this composition ... 0.029 eV per atom
DOS at the Fermi energy ... 0.68 states/eV/cell



(9)
## RbLaSiTe4 (PBE)

Data for an optimized crystal structure of RbLaSiTe4.

abc: 7.3501 7.5952 10.1846
angles: 90.00 108.45 90.00
Element x y z (fractional)
1 Te 0.9841 0.4907 0.2823
2 Te 0.9841 0.0093 0.2823
3 La 0.2347 0.2500 0.5531
4 Te 0.0159 0.5093 0.7177
5 La 0.7653 0.7500 0.4469
6 Te 0.4058 0.7500 0.1602
7 Te 0.5942 0.2500 0.8398
8 Te 0.4112 0.7500 0.5755
9 Rb 0.7556 0.7500 0.9404
10 Si 0.7885 0.2500 0.6769
11 Te 0.5888 0.2500 0.4245
12 Rb 0.2444 0.2500 0.0596
13 Si 0.2115 0.7500 0.3231
14 Te 0.0159 0.9907 0.7177



(10)
## Pr3TlH3 (PBE)

Data for an optimized crystal structure of Pr3TlH3.

abc: 6.8757 6.8757 8.7466
angles: 66.86 66.86 60.00
Element x y z (fractional)
1 Pr 0.5587 0.8980 0.3095
2 H 0.8682 0.5358 0.3892
3 H 0.1318 0.4642 0.6108
4 Pr 0.8980 0.2338 0.3095
5 Pr 0.4413 0.1020 0.6905
6 Pr 0.1020 0.7662 0.6905
7 H 0.2067 0.8682 0.3892
8 H 0.4642 0.7933 0.6108
9 Tl 0.3335 0.3335 0.9996
10 Tl 0.6665 0.6665 0.0004
11 Pr 0.2338 0.5587 0.3095
12 H 0.5358 0.2067 0.3892
13 Pr 0.7662 0.4413 0.6905
14 H 0.7933 0.1318 0.6108

Values from the calculation:
DOS at the Fermi energy ... 6.15 states/eV/cell



(11)
## UPt8Rh2 (PBE)

Data for an optimized crystal structure of UPt8Rh2.

abc: 4.0417 6.3389 7.4933
angles: 104.97 105.65 90.00
Element x y z (fractional)
1 Pt 0.9517 0.2730 0.9034
2 U 0.5000 0.0000 0.0000
3 Pt 0.0483 0.7270 0.0966
4 Pt 0.6837 0.9137 0.3673
5 Pt 0.3163 0.0863 0.6327
6 Rh 0.7742 0.3707 0.5484
7 Pt 0.5933 0.4476 0.1867
8 Pt 0.8636 0.8146 0.7271
9 Rh 0.2258 0.6293 0.4516
10 Pt 0.1364 0.1854 0.2729
11 Pt 0.4067 0.5524 0.8133

Values from the calculation:
DOS at the Fermi energy ... 13.76 states/eV/cell



(12)
## Sr2MgAg (PBE)

Data for an optimized crystal structure of Sr2MgAg.

abc: 4.0124 4.0125 8.2586
angles: 90.00 90.00 90.00
Element x y z (fractional)
1 Sr 0.5000 0.0000 0.2316
2 Ag 0.0000 0.5000 0.0000
3 Sr 0.5000 0.0000 0.7684
4 Mg 0.0000 0.5000 0.5000

Values from the calculation:
DOS at the Fermi energy ... 2.81 states/eV/cell



(13)
## GaCu2Bi (PBE)

Data for an optimized crystal structure of GaCu2Bi.

abc: 4.3716 4.3716 8.9211
angles: 75.82 75.82 90.00
Element x y z (fractional)
1 Bi 0.0000 0.0000 0.0000
2 Bi 0.7500 0.2500 0.5000
3 Ga 0.2500 0.7500 0.5000
4 Cu 0.3750 0.4693 0.7500
5 Ga 0.5000 0.5000 0.0000
6 Cu 0.8750 0.7807 0.7500
7 Cu 0.2193 0.6250 0.2500
8 Cu 0.5307 0.1250 0.2500

Values from the calculation:
DOS at the Fermi energy ... 4.15 states/eV/cell



(14)
## MnZnSi2 (PBE)

Data for an optimized crystal structure of MnZnSi2.

abc: 3.8039 3.8039 3.7510
angles: 90.00 90.00 90.00
Element x y z (fractional)
1 Mn 0.0000 0.5000 0.5000
2 Si 0.5000 0.5000 0.0000
3 Si 0.0000 0.0000 0.0000
4 Zn 0.5000 0.0000 0.5000

Values from the calculation:
DOS at the Fermi energy ... 2.21 states/eV/cell



(15)
## KBeBiO4 (PBE)

Data for an optimized crystal structure of KBeBiO4.

abc: 6.2203 6.2203 6.1407
angles: 90.00 90.00 110.61
Element x y z (fractional)
1 Be 0.8635 0.1365 0.7500
2 O 0.7860 0.8449 0.7500
3 O 0.7664 0.2336 0.9670
4 O 0.2140 0.1551 0.2500
5 O 0.8449 0.7860 0.2500
6 O 0.2336 0.7664 0.0330
7 Bi 0.8740 0.1260 0.2500
8 O 0.1551 0.2140 0.7500
9 K 0.5000 0.5000 0.0000
10 O 0.2336 0.7664 0.4670
11 Bi 0.1260 0.8740 0.7500
12 K 0.5000 0.5000 0.5000
13 O 0.7664 0.2336 0.5330
14 Be 0.1365 0.8635 0.2500

Values from the calculation:
DOS at the Fermi energy ... 2.64 states/eV/cell



(16)
## Ta4NbPd (PBE)

Data for an optimized crystal structure of Ta4NbPd.

abc: 4.4567 4.4568 6.2573
angles: 90.00 89.99 90.00
Element x y z (fractional)
1 Ta 0.9972 0.5013 0.2493
2 Pd 0.9973 0.0013 0.5019
3 Ta 0.9973 0.5013 0.7544
4 Nb 0.4973 0.5013 0.0019
5 Ta 0.4973 0.0013 0.7544
6 Ta 0.4973 0.0013 0.2493

Values from the calculation:
DOS at the Fermi energy ... 7.79 states/eV/cell



(17)
## Be2AuCl (PBE)

Data for an optimized crystal structure of Be2AuCl.

abc: 4.3713 4.3713 4.3713
angles: 60.00 60.00 60.00
Element x y z (fractional)
1 Be 0.7500 0.7500 0.7500
2 Be 0.2500 0.2500 0.2500
3 Cl 0.0000 0.0000 0.0000
4 Au 0.5000 0.5000 0.5000

Values from the calculation:
Energy relative to the lowest polymorph listed for this composition ... 0.876 eV per atom
DOS at the Fermi energy ... 3.40 states/eV/cell



(18)
## MgCr2Pb (PBE)

Data for an optimized crystal structure of MgCr2Pb.

abc: 5.3948 5.3948 5.3948
angles: 133.90 133.88 67.26
Element x y z (fractional)
1 Cr 0.9999 0.9999 0.0000
2 Cr 0.2499 0.7499 0.5000
3 Mg 0.5001 0.5001 0.0000
4 Pb 0.7501 0.2501 0.5000

Values from the calculation:
DOS at the Fermi energy ... 2.30 states/eV/cell



(19)
## AlSnICl4 (PBE)

Data for an optimized crystal structure of AlSnICl4.

abc: 8.6421 8.6421 10.4968
angles: 64.23 64.23 64.43
Element x y z (fractional)
1 Cl 0.3851 0.3851 0.4656
2 Cl 0.5406 0.1725 0.1854
3 I 0.0951 0.0951 0.0992
4 Al 0.6893 0.6893 0.6637
5 Sn 0.8630 0.8630 0.2230
6 Cl 0.6149 0.6149 0.5344
7 Cl 0.4594 0.8275 0.8146
8 Al 0.3107 0.3107 0.3363
9 I 0.9049 0.9049 0.9008
10 Cl 0.8275 0.4594 0.8146
11 Sn 0.1370 0.1370 0.7770
12 Cl 0.8606 0.8606 0.5137
13 Cl 0.1394 0.1394 0.4863
14 Cl 0.1725 0.5406 0.1854

Values from the calculation:
DOS at the Fermi energy ... 0.00 states/eV/cell



(20)
## HfPbI2N (PBE)

Data for an optimized crystal structure of HfPbI2N.

abc: 5.9338 5.9338 4.4257
angles: 90.00 90.00 90.00
Element x y z (fractional)
1 I 0.0000 0.5000 0.0000
2 I 0.5000 0.0000 0.0000
3 Hf 0.5000 0.5000 0.5000
4 N 0.0000 0.0000 0.5000
5 Pb 0.0000 0.0000 0.0000

Values from the calculation:
Energy relative to the lowest polymorph listed for this composition ... 1.435 eV per atom
DOS at the Fermi energy ... 5.53 states/eV/cell



(21)
## Tl3RhSe (PBE)

Data for an optimized crystal structure of Tl3RhSe.

abc: 5.2526 5.2526 5.2526
angles: 90.00 90.00 90.00
Element x y z (fractional)
1 Se 0.5000 0.5000 0.5000
2 Tl 0.5000 0.0000 0.0000
3 Tl 0.0000 0.5000 0.0000
4 Tl 0.0000 0.0000 0.5000
5 Rh 0.0000 0.0000 0.0000

Values from the calculation:
Energy relative to the lowest polymorph listed for this composition ... 0.000 eV per atom
DOS at the Fermi energy ... 2.03 states/eV/cell



(22)
## Nd2HoIn2Ag2 (PBE)

Data for an optimized crystal structure of Nd2HoIn2Ag2.

abc: 4.8634 4.8634 9.5348
angles: 75.22 75.22 60.00
Element x y z (fractional)
1 Ho 0.0000 0.0000 0.0000
2 In 0.2648 0.2648 0.2056
3 Ag 0.6100 0.6100 0.1701
4 Nd 0.1255 0.1255 0.6236
5 Ag 0.3900 0.3900 0.8299
6 In 0.7352 0.7352 0.7944
7 Nd 0.8745 0.8745 0.3764

Values from the calculation:
DOS at the Fermi energy ... 5.73 states/eV/cell



(23)
## Ti3AlH (PBE)

Data for an optimized crystal structure of Ti3AlH.

abc: 5.0778 5.6722 5.8361
angles: 60.94 109.40 90.01
Element x y z (fractional)
1 Ti 0.1926 0.4489 0.9352
2 Ti 0.6993 0.7153 0.4154
3 Al 0.6891 0.2128 0.9170
4 H 0.4854 0.5988 0.1451
5 Ti 0.6994 0.2121 0.4153
6 H 0.9468 0.8337 0.6755
7 Ti 0.1926 0.9588 0.9352
8 Al 0.1955 0.4523 0.4386
9 Ti 0.7144 0.7068 0.9292
10 Ti 0.1839 0.9638 0.4155

Values from the calculation:
DOS at the Fermi energy ... 6.93 states/eV/cell



(24)
## Sc2BBr (PBE)

Data for an optimized crystal structure of Sc2BBr.

abc: 9.2083 9.2083 9.2083
angles: 21.24 21.24 21.24
Element x y z (fractional)
1 B 0.0000 0.0000 0.0000
2 Br 0.5000 0.5000 0.5000
3 Sc 0.0859 0.0859 0.0859
4 Sc 0.9141 0.9141 0.9141

Values from the calculation:
Energy relative to the lowest polymorph listed for this composition ... 1.133 eV per atom
DOS at the Fermi energy ... 6.43 states/eV/cell



How do the records compare in E_tot? In the order shown, they have -3.211, -7.427, -3.499, -6.416, -4.604, -5.792, -2.595, -3.452, -4.311, -4.219, -7.064, -2.113, -3.567, -5.141, -5.446, -9.795, -2.464, -5.562, -3.582, -3.722, -3.622, -3.908, -6.473, -4.776 eV/atom.